A relaxed structure of Hg5As3. Source: Alexandria, functional PBE.

**Energy of formation**: 272 meV/atom
**Spin magnetization**: 0.000 μB/f.u.
**Energy above the lowest structure with this stoichiometry**: 109 meV per atom

Cell lengths 7.9515, 7.9515, 7.6305 Å; angles 90.00, 90.00, 120.00 degrees
Fractional positions:
As 0.6195 0.0000 0.2500
Hg 0.6667 0.3333 0.0000
As 0.0000 0.6195 0.2500
Hg 0.6667 0.3333 0.5000
As 0.0000 0.3805 0.7500
Hg 0.0000 0.2400 0.2500
Hg 0.3333 0.6667 0.0000
As 0.6195 0.6195 0.7500
Hg 0.2400 0.2400 0.7500
Hg 0.7600 0.0000 0.7500
Hg 0.2400 0.0000 0.2500
Hg 0.0000 0.7600 0.7500
Hg 0.3333 0.6667 0.5000
As 0.3805 0.0000 0.7500
As 0.3805 0.3805 0.2500
Hg 0.7600 0.7600 0.2500

=====

A relaxed structure of Hg7As. Source: Alexandria, functional PBE.

**Energy of formation**: 208 meV/atom
**Spin magnetization**: 0.008 μB/f.u.

Cell lengths 6.5501, 6.5501, 6.5501 Å; angles 60.00, 60.00, 60.00 degrees
Fractional positions:
Hg 0.5000 0.5000 0.0000
Hg 0.0000 0.5000 0.5000
Hg 0.5000 0.0000 0.5000
Hg 0.0000 0.5000 0.0000
Hg 0.5000 0.0000 0.0000
Hg 0.5000 0.5000 0.5000
Hg 0.0000 0.0000 0.5000
As 0.0000 0.0000 0.0000

=====

A relaxed structure of HgAs8. Source: Alexandria, functional PBE.

**Energy of formation**: 455 meV/atom
**Spin magnetization**: 0.000 μB/f.u.

Cell lengths 7.0212, 7.0212, 7.0212 Å; angles 95.97, 95.97, 142.37 degrees
Fractional positions:
As 0.6395 0.0000 0.6395
As 0.2997 0.2997 0.5994
As 0.0000 0.3605 0.3605
As 0.0000 0.6395 0.6395
Hg 0.0000 0.0000 0.0000
As 0.2997 0.7003 0.0000
As 0.7003 0.7003 0.4006
As 0.7003 0.2997 0.0000
As 0.3605 0.0000 0.3605

=====

A relaxed structure of Hg2As3. Source: Alexandria, functional PBE.

**Energy of formation**: 206 meV/atom
**Spin magnetization**: 0.000 μB/f.u.

Cell lengths 9.0704, 9.0704, 9.0704 Å; angles 24.90, 24.90, 24.90 degrees
Fractional positions:
Hg 0.6029 0.6029 0.6029
As 0.0000 0.0000 0.0000
As 0.8071 0.8071 0.8071
As 0.1929 0.1929 0.1929
Hg 0.3971 0.3971 0.3971

=====

A relaxed structure of Hg3As. Source: Alexandria, functional PBE.

**Energy of formation**: 272 meV/atom
**Spin magnetization**: 0.000 μB/f.u.
**Energy above the lowest structure with this stoichiometry**: 173 meV per atom

Cell lengths 6.0721, 6.0721, 12.2111 Å; angles 90.00, 90.00, 120.00 degrees
Fractional positions:
As 0.0000 0.0000 0.0000
Hg 0.5000 0.5000 0.0000
Hg 0.0000 0.5000 0.0000
Hg 0.1654 0.3308 0.7500
Hg 0.5000 0.0000 0.5000
Hg 0.8346 0.6692 0.2500
As 0.6667 0.3333 0.7500
As 0.0000 0.0000 0.5000
Hg 0.8346 0.1654 0.2500
Hg 0.3308 0.1654 0.2500
Hg 0.5000 0.0000 0.0000
Hg 0.1654 0.8346 0.7500
Hg 0.0000 0.5000 0.5000
As 0.3333 0.6667 0.2500
Hg 0.6692 0.8346 0.7500
Hg 0.5000 0.5000 0.5000

=====

A relaxed structure of Hg3As. Source: Alexandria, functional PBE.

**Energy of formation**: 270 meV/atom
**Spin magnetization**: 0.000 μB/f.u.
**Energy above the lowest structure with this stoichiometry**: 171 meV per atom

Cell lengths 6.1955, 6.1955, 6.1955 Å; angles 140.32, 140.32, 57.37 degrees
Fractional positions:
As 0.0000 0.0000 0.0000
Hg 0.2500 0.7500 0.5000
Hg 0.5000 0.5000 0.0000
Hg 0.7500 0.2500 0.5000

=====

A relaxed structure of HgAs. Source: Alexandria, functional PBE.

**Energy of formation**: 391 meV/atom
**Spin magnetization**: 0.000 μB/f.u.
**Energy above the lowest structure with this stoichiometry**: 392 meV per atom

Cell lengths 7.5620, 7.5620, 7.5620 Å; angles 90.00, 90.00, 90.00 degrees
Fractional positions:
Hg 0.5000 0.7500 0.0000
As 0.2500 0.5000 0.0000
Hg 0.5000 0.2500 0.0000
Hg 0.0000 0.5000 0.7500
Hg 0.2500 0.0000 0.5000
Hg 0.7500 0.0000 0.5000
As 0.5000 0.0000 0.7500
As 0.5000 0.0000 0.2500
As 0.0000 0.2500 0.5000
Hg 0.0000 0.5000 0.2500
As 0.7500 0.5000 0.0000
As 0.0000 0.7500 0.5000

=====

A relaxed structure of HoHgAs. Source: Alexandria, functional PBE.

**Energy of formation**: -638 meV/atom
**Spin magnetization**: 0.000 μB/f.u.

Cell lengths 4.8257, 4.8257, 9.4622 Å; angles 75.23, 75.23, 60.00 degrees
Fractional positions:
Hg 0.8634 0.8634 0.4098
Ho 0.6148 0.6148 0.1557
Hg 0.1366 0.1366 0.5902
As 0.2814 0.2814 0.1559
As 0.7186 0.7186 0.8441
Ho 0.3852 0.3852 0.8443

=====

A relaxed structure of Ho2HgAs2. Source: Alexandria, functional PBE.

**Energy of formation**: -843 meV/atom
**Spin magnetization**: 0.000 μB/f.u.

Cell lengths 4.0128, 6.5192, 9.3542 Å; angles 90.00, 102.47, 90.00 degrees
Fractional positions:
Ho 0.4773 0.2575 0.9522
As 0.6894 0.8930 0.3784
Ho 0.3012 0.9418 0.6017
As 0.9152 0.9833 0.8280
Ho 0.5227 0.7575 0.0478
Hg 0.8997 0.5587 0.7984
As 0.0848 0.4833 0.1720
Hg 0.1003 0.0587 0.2016
Ho 0.6988 0.4418 0.3983
As 0.3106 0.3930 0.6216

=====

A relaxed structure of Ho2HgAs. Source: Alexandria, functional PBE.

**Energy of formation**: -916 meV/atom
**Spin magnetization**: 0.000 μB/f.u.
**Energy above the lowest structure with this stoichiometry**: 0 meV per atom

Cell lengths 3.9818, 3.9818, 7.9957 Å; angles 75.58, 75.58, 60.00 degrees
Fractional positions:
As 0.0000 0.0000 0.0000
Ho 0.7392 0.7392 0.7824
Ho 0.2608 0.2608 0.2176
Hg 0.5000 0.5000 0.5000

=====

A relaxed structure of Ho2HgAs. Source: Alexandria, functional PBE.

**Energy of formation**: -869 meV/atom
**Spin magnetization**: 0.000 μB/f.u.
**Energy above the lowest structure with this stoichiometry**: 47 meV per atom

Cell lengths 3.9742, 3.9742, 8.0453 Å; angles 75.70, 75.70, 60.00 degrees
Fractional positions:
Ho 0.0723 0.0723 0.7832
As 0.6675 0.6675 0.9974
Ho 0.2611 0.2611 0.2166
Hg 0.4991 0.4991 0.5028

=====

A relaxed structure of Ho6HgAs2Se3. Source: Alexandria, functional PBE.

**Formation energy without anion corrections**: -1460.1 meV/atom
**Spin magnetization**: 0.000 μB/f.u.

Cell lengths 4.0633, 8.3362, 9.2224 Å; angles 103.01, 102.73, 90.00 degrees
Fractional positions:
Se 0.1682 0.8317 0.3365
Ho 0.6706 0.5765 0.3413
As 0.8331 0.6649 0.6661
Ho 0.9978 0.7425 0.9957
Se 0.8318 0.1683 0.6635
As 0.1669 0.3351 0.3339
Ho 0.3294 0.4235 0.6587
Ho 0.6681 0.0924 0.3363
Ho 0.0022 0.2575 0.0043
Hg 0.5000 0.0000 0.0000
Se 0.5000 0.5000 0.0000
Ho 0.3319 0.9076 0.6637